(1)
Pr5HoTm3: relaxed, PBE-GGA.

POSCAR file:
```
Pr5HoTm3
1.0
-4.679 4.679 7.140
4.679 -4.679 7.140
4.679 4.679 -7.140
Pr Ho Tm
10 2 6
direct
0.000 0.000 0.000
0.068 0.568 0.901
0.167 0.068 0.500
0.333 0.833 0.901
0.432 0.333 0.500
0.500 0.500 0.000
0.568 0.667 0.500
0.667 0.167 0.099
0.833 0.932 0.500
0.932 0.432 0.099
0.250 0.750 0.500
0.750 0.250 0.500
0.109 0.391 0.500
0.250 0.250 0.000
0.391 0.891 0.282
0.609 0.109 0.718
0.750 0.750 0.000
0.891 0.609 0.500
```

Summary:
Total magnetic moment: 0.00 μB/cell
SG: No. 140
Excess energy over the best structure of this formula in the dataset: 43 meV/atom



(2)
TaZnCuH2: relaxed, PBE-GGA.

POSCAR file:
```
TaZnCuH2
1.0
3.526 0.000 0.000
0.000 3.526 0.000
0.000 0.000 5.247
Ta Zn Cu H
1 1 1 2
direct
0.000 0.000 0.000
0.000 0.000 0.500
0.500 0.500 0.500
0.000 0.500 0.000
0.500 0.000 0.000
```

Summary:
Total magnetic moment: 0.00 μB/cell
SG: No. 123
E: -4.232 eV per atom



(3)
ZrZn2Sb: relaxed, PBE-GGA.

POSCAR file:
```
ZrZn2Sb
1.0
5.695 0.000 0.000
0.000 9.306 0.000
-0.705 0.000 3.039
Zr Zn Sb
2 4 2
direct
0.000 0.000 0.000
0.500 0.500 0.000
0.250 0.250 0.500
0.250 0.750 0.500
0.750 0.250 0.500
0.750 0.750 0.500
0.000 0.500 0.000
0.500 0.000 0.000
```

Summary:
Total magnetic moment: 0.00 μB/cell
SG: No. 12
Energy relative to the elements, uncorrected: -0.0919 eV per atom



(4)
Y2FePdN: relaxed, PBE-GGA.

POSCAR file:
```
Y2FePdN
1.0
4.924 0.000 0.000
0.000 4.924 0.000
0.000 0.000 3.581
Y Fe Pd N
2 1 1 1
direct
0.000 0.500 0.000
0.500 0.000 0.000
0.000 0.000 0.500
0.500 0.500 0.500
0.000 0.000 0.000
```

Summary:
Total magnetic moment: 0.36 μB/cell
SG: No. 123
Energy relative to the elements, uncorrected: -0.9001 eV per atom



(5)
TeAu2: relaxed, PBE-GGA.

POSCAR file:
```
TeAu2
1.0
12.636 0.000 0.000
0.000 3.986 0.000
-1.791 0.000 5.359
Te Au
4 8
direct
0.187 0.000 0.198
0.313 0.500 0.802
0.687 0.500 0.198
0.813 0.000 0.802
0.048 0.500 0.279
0.112 0.000 0.690
0.388 0.500 0.310
0.452 0.000 0.721
0.548 0.000 0.279
0.612 0.500 0.690
0.888 0.000 0.310
0.952 0.500 0.721
```

Summary:
Total magnetic moment: 0.00 μB/cell
SG: No. 12
Energy relative to the elements, uncorrected: 0.0364 eV per atom



(6)
CsZn12Ga7: relaxed, PBE-GGA.

POSCAR file:
```
CsZn12Ga7
1.0
6.853 3.957 2.335
-6.853 3.957 2.335
0.000 -7.913 2.335
Cs Zn Ga
1 12 7
direct
0.000 0.000 0.000
0.000 0.266 0.734
0.000 0.734 0.266
0.046 0.394 0.394
0.266 0.000 0.734
0.266 0.734 0.000
0.394 0.046 0.394
0.394 0.394 0.046
0.606 0.606 0.954
0.606 0.954 0.606
0.734 0.000 0.266
0.734 0.266 0.000
0.954 0.606 0.606
0.220 0.220 0.567
0.220 0.567 0.220
0.433 0.780 0.780
0.500 0.500 0.500
0.567 0.220 0.220
0.780 0.433 0.780
0.780 0.780 0.433
```

Summary:
Total magnetic moment: 0.00 μB/cell
SG: No. 166
E: -1.757 eV per atom



(7)
SrGa2P2: relaxed, PBE-GGA.

POSCAR file:
```
SrGa2P2
1.0
4.768 0.000 0.000
0.000 4.768 0.000
0.000 0.000 9.069
Sr Ga P
2 4 4
direct
0.000 0.000 0.000
0.500 0.500 0.500
0.000 0.000 0.357
0.000 0.000 0.643
0.500 0.500 0.143
0.500 0.500 0.857
0.000 0.500 0.250
0.000 0.500 0.750
0.500 0.000 0.250
0.500 0.000 0.750
```

Summary:
Total magnetic moment: 0.00 μB/cell
SG: No. 139
Excess energy over the best structure of this formula in the dataset: 0 meV/atom



(8)
Ga2AgBi: relaxed, PBE-GGA.

POSCAR file:
```
Ga2AgBi
1.0
3.462 0.000 0.000
0.000 3.462 0.000
0.000 0.000 7.390
Ga Ag Bi
2 1 1
direct
0.000 0.000 0.205
0.000 0.000 0.795
0.500 0.500 0.000
0.500 0.500 0.500
```

Summary:
Total magnetic moment: 0.00 μB/cell
SG: No. 123
E: -3.094 eV per atom



(9)
Ga2CuP: relaxed, PBE-GGA.

POSCAR file:
```
Ga2CuP
1.0
6.050 0.000 0.000
0.000 6.050 0.000
0.000 0.000 8.990
Ga Cu P
8 4 4
direct
0.241 0.250 0.125
0.250 0.741 0.375
0.250 0.759 0.875
0.259 0.250 0.625
0.741 0.750 0.625
0.750 0.241 0.875
0.750 0.259 0.375
0.759 0.750 0.125
0.000 0.000 0.500
0.000 0.500 0.750
0.500 0.000 0.250
0.500 0.500 0.000
0.000 0.000 0.000
0.000 0.500 0.250
0.500 0.000 0.750
0.500 0.500 0.500
```

Summary:
Total magnetic moment: 0.00 μB/cell
SG: No. 122
E: -3.764 eV per atom



(10)
LiGaAuF2: relaxed, PBE-GGA.

POSCAR file:
```
LiGaAuF2
1.0
3.742 0.000 0.000
0.000 3.742 0.000
0.000 0.000 5.006
Li Ga Au F
1 1 1 2
direct
0.000 0.000 0.000
0.500 0.500 0.500
0.000 0.000 0.500
0.000 0.500 0.000
0.500 0.000 0.000
```

Summary:
Total magnetic moment: 0.00 μB/cell
SG: No. 123
Energy relative to the elements, uncorrected: -1.3113 eV per atom



(11)
Pr2HoIr: relaxed, PBE-GGA.

POSCAR file:
```
Pr2HoIr
1.0
7.330 0.000 0.000
0.000 9.931 0.000
0.000 0.000 6.465
Pr Ho Ir
8 4 4
direct
0.179 0.066 0.174
0.179 0.434 0.174
0.321 0.566 0.674
0.321 0.934 0.674
0.679 0.066 0.326
0.679 0.434 0.326
0.821 0.566 0.826
0.821 0.934 0.826
0.039 0.250 0.652
0.461 0.750 0.152
0.539 0.250 0.848
0.961 0.750 0.348
0.121 0.750 0.957
0.379 0.250 0.457
0.621 0.750 0.543
0.879 0.250 0.043
```

Summary:
Total magnetic moment: 0.00 μB/cell
SG: No. 62
Excess energy over the best structure of this formula in the dataset: 0 meV/atom



(12)
GeSb2TeN: relaxed, PBE-GGA.

POSCAR file:
```
GeSb2TeN
1.0
5.400 0.000 0.000
0.000 5.400 0.000
0.000 0.000 5.479
Ge Sb Te N
1 2 1 1
direct
0.000 0.000 0.000
0.000 0.500 0.000
0.500 0.000 0.000
0.000 0.000 0.500
0.500 0.500 0.500
```

Summary:
Total magnetic moment: 2.46 μB/cell
SG: No. 123
Excess energy over the best structure of this formula in the dataset: 905 meV/atom
Energy relative to the elements, uncorrected: 1.5701 eV per atom